# 1
An optimized crystal structure of TlTc3, computed with PBE-GGA.

Energy of formation: 0.78 eV per atom
D(E_F): 18.00 states/eV per cell

Unit cell a=9.0091 b=9.0091 c=2.8216 alpha=90.00 beta=90.00 gamma=120.00
Space group R-3m (No. 166, hexagonal axes)
Asymmetric unit:
Tl1 0.0000 0.0000 0.0000 x3
Tc1 0.0000 0.5000 0.0000 x9

# 2
An optimized crystal structure of Li2SbPbAu4, computed with PBE-GGA.

ΔE_f (raw): -0.29 eV per atom
D(E_F): 6.23 states/eV per cell

Unit cell a=4.8079 b=4.8079 c=23.6965 alpha=90.00 beta=90.00 gamma=120.00
Space group R-3m (No. 166, hexagonal axes)
Asymmetric unit:
Li1 0.0000 0.0000 0.2499 x6
Sb1 0.0000 0.0000 0.0000 x3
Pb1 0.0000 0.0000 0.5000 x3
Au1 0.0000 0.0000 0.1212 x6
Au2 0.0000 0.0000 0.3728 x6

# 3
An optimized crystal structure of Si2AgPd2, computed with PBE-GGA.

ΔE_f (raw): -0.29 eV per atom
D(E_F): 3.15 states/eV per cell

Unit cell a=4.1090 b=4.1090 c=9.7838 alpha=90.00 beta=90.00 gamma=90.00
Space group I4/mmm (No. 139)
Asymmetric unit:
Si1 0.0000 0.0000 0.1153 x4
Ag1 0.0000 0.0000 0.5000 x2
Pd1 0.0000 0.5000 0.2500 x4